[1]
The following is a DFT calculation (PBE) of an optimized crystal structure of MnNbInIr.

Lattice parameters (Å, degrees): 4.4760 4.4760 4.4760 60.00 60.00 60.00
With the nearest neighbours (Å) after each atom.
Fractional coordinates of all 4 atoms:
Mn  0.0000  0.0000  0.0000  4 In 2.74, 4 Nb 2.74
Nb  0.2500  0.2500  0.2500  4 Ir 2.74, 4 Mn 2.74
In  0.7500  0.7500  0.7500  4 Ir 2.74, 4 Mn 2.74
Ir  0.5000  0.5000  0.5000  4 Nb 2.74, 4 In 2.74

Calculated values
Total magnetization in Bohr magnetons per cell: 0.00
Space-group type: F-43m
E_form in eV/atom: -0.10

---

[2]
The following is a DFT calculation (PBE) of an optimized crystal structure of MnInNiIr.

Lattice parameters (Å, degrees): 4.3980 4.3980 4.3980 60.00 60.00 60.00
With the nearest neighbours (Å) after each atom.
Fractional coordinates of all 4 atoms:
Mn  0.0000  0.0000  0.0000  4 Ni 2.69, 4 Ir 2.69
In  0.5000  0.5000  0.5000  4 Ni 2.69, 4 Ir 2.69
Ni  0.7500  0.7500  0.7500  4 In 2.69, 4 Mn 2.69
Ir  0.2500  0.2500  0.2500  4 In 2.69, 4 Mn 2.69

Calculated values
Total magnetization in Bohr magnetons per cell: 4.39
Space-group type: F-43m
E_form in eV/atom: -0.09

---

[3]
The following is a DFT calculation (PBE) of an optimized crystal structure of NpMnInIr.

Lattice parameters (Å, degrees): 4.7160 4.7160 4.7160 60.00 60.00 60.00
With the nearest neighbours (Å) after each atom.
Fractional coordinates of all 4 atoms:
Np  0.0000  0.0000  0.0000  4 Mn 2.89, 4 Ir 2.89
Mn  0.2500  0.2500  0.2500  4 In 2.89, 4 Np 2.89
In  0.5000  0.5000  0.5000  4 Mn 2.89, 4 Ir 2.89
Ir  0.7500  0.7500  0.7500  4 In 2.89, 4 Np 2.89

Calculated values
Total magnetization in Bohr magnetons per cell: 0.44
Space-group type: F-43m
E_form in eV/atom: -0.07

---

Please write out number 3 again, unchanged.
The following is a DFT calculation (PBE) of an optimized crystal structure of NpMnInIr.

Lattice parameters (Å, degrees): 4.7160 4.7160 4.7160 60.00 60.00 60.00
With the nearest neighbours (Å) after each atom.
Fractional coordinates of all 4 atoms:
Np  0.0000  0.0000  0.0000  4 Mn 2.89, 4 Ir 2.89
Mn  0.2500  0.2500  0.2500  4 In 2.89, 4 Np 2.89
In  0.5000  0.5000  0.5000  4 Mn 2.89, 4 Ir 2.89
Ir  0.7500  0.7500  0.7500  4 In 2.89, 4 Np 2.89

Calculated values
Total magnetization in Bohr magnetons per cell: 0.44
Space-group type: F-43m
E_form in eV/atom: -0.07

---

Which value of total magnetization does entry 1 give?
0.00 Bohr magnetons per cell